Material: NdDy4Se5
Method: DFT, PBE
State: optimized geometry

POSCAR file:
```
NdDy4Se5
1.0
4.1019 0.0000 0.0000
0.0000 4.1019 0.0000
-2.0510 -2.0510 14.5720
Dy Nd Se
4 1 5
Direct
0.2042 0.2042 0.4084
0.5977 0.5977 0.1953
0.7958 0.7958 0.5916
0.4023 0.4023 0.8047
0.0000 0.0000 0.0000
0.3026 0.3026 0.6052
0.6974 0.6974 0.3948
0.1036 0.1036 0.2072
0.5000 0.5000 0.0000
0.8964 0.8964 0.7928
```

Results
- Formation energy without anion corrections: -1.76 eV/atom
- ΔE to the lowest computed polymorph: 0.09 eV per formula unit
- DOS(E_F): 0.44 states/eV per atom

Material: Ca2CdWAu
Method: DFT, PBE
State: optimized geometry

POSCAR file:
```
Ca2CdWAu
1.0
5.7018 0.0000 0.0000
0.0000 5.1494 0.0000
0.0000 0.0000 5.7018
Au Ca W Cd
1 2 1 1
Direct
0.5000 0.5000 0.5000
0.5000 0.0000 0.0000
0.0000 0.0000 0.5000
0.0000 0.5000 0.0000
0.0000 0.0000 0.0000
```

Results
- Formation energy: 1.069 eV per atom
- DOS(E_F): 0.55 states/eV per atom

Material: Mn2Nb8N
Method: DFT, PBE
State: optimized geometry

POSCAR file:
```
Mn2Nb8N
1.0
4.3852 0.0000 0.0000
0.0000 5.6659 0.1420
-2.1926 -2.2633 7.0621
N Nb Mn
1 8 2
Direct
0.5000 0.0000 0.0000
0.4081 0.5592 0.8163
0.0116 0.7625 0.0233
0.3675 0.0337 0.7351
0.7872 0.7263 0.5744
0.2128 0.2737 0.4256
0.9884 0.2375 0.9767
0.6325 0.9663 0.2649
0.5919 0.4408 0.1837
0.1750 0.6655 0.3500
0.8250 0.3345 0.6500
```

Results
- Formation energy without anion corrections: 0.04 eV/atom
- DOS(E_F): 0.87 states/eV per atom

Material: Li5As
Method: DFT, PBE
State: optimized geometry

POSCAR file:
```
Li5As
1.0
1.4883 5.3048 -0.0017
-1.4883 5.3048 -0.0017
0.0000 2.3320 6.5726
Li As
5 1
Direct
0.4109 0.4109 0.7646
0.0302 0.0302 0.3927
0.6971 0.6971 0.0625
0.3370 0.3370 0.2886
0.6814 0.6814 0.6628
0.0100 0.0100 0.9954
```

Results
- Formation energy: -0.286 eV per atom
- DOS(E_F): 0.39 states/eV per atom

Number 1: E -5.82 eV/atom, V 24.5 Å³ per atom. Number 2: E -3.16 eV/atom, V 33.5 Å³ per atom. Number 3: E -9.71 eV/atom, V 16.1 Å³ per atom. Number 4: E -2.66 eV/atom, V 17.3 Å³ per atom.